Material: LiCr2Ni
Method: DFT, PBEsol
State: optimized geometry

Computed properties:
Spin magnetization in μB/cell: 5.0
Crystal system: tetragonal
Formation energy in eV/f.u.: 2.4
Offset from the most stable computed form in kJ/mol of atoms: 24.78

abc: 4.0182 4.0182 2.8825
angles: 90.00 90.00 90.00
Space group P4/mmm (No. 123)
Inequivalent atoms, fractional coordinates:
Li1 0.0000 0.0000 0.0000 (multiplicity 1)
Cr1 0.0000 0.5000 0.5000 (multiplicity 2)
Ni1 0.5000 0.5000 0.0000 (multiplicity 1)

***

Material: CoGe3Br
Method: DFT, PBEsol
State: optimized geometry

Computed properties:
Spin magnetization in μB/cell: 0.0
Crystal system: cubic
Uncorrected formation energy in eV/atom: 0.011

abc: 4.5464 4.5464 4.5464
angles: 90.00 90.00 90.00
Space group Pm-3m (No. 221)
Inequivalent atoms, fractional coordinates:
Co1 0.0000 0.0000 0.0000 (multiplicity 1)
Ge1 0.0000 0.0000 0.5000 (multiplicity 3)
Br1 0.5000 0.5000 0.5000 (multiplicity 1)

***

Material: TeW2Cl
Method: DFT, PBEsol
State: optimized geometry

Computed properties:
Spin magnetization in μB/cell: 0.0
Crystal system: orthorhombic
Uncorrected formation energy in eV/atom: 1.159
Offset from the most stable computed form in kJ/mol of atoms: 104.00

abc: 2.9697 4.4658 5.3885
angles: 90.00 90.00 90.00
Space group Pmmm (No. 47)
Inequivalent atoms, fractional coordinates:
Te1 0.0000 0.0000 0.0000 (multiplicity 1)
W1 0.0000 0.5000 0.5000 (multiplicity 1)
W2 0.5000 0.5000 0.0000 (multiplicity 1)
Cl1 0.5000 0.0000 0.5000 (multiplicity 1)